1.
VASP calculation (GGA-PBE) on crystalline Ba2In12AgPt3 at its relaxed geometry.

abc: 8.7718 8.7718 8.7718
angles: 69.94 69.94 69.94
Last column: nearest neighbours and their distance in Å.
Atoms (fractional coordinates):
Ba1 0.1011 0.1011 0.1011  6 In 3.50-3.88
Ba2 0.8989 0.8989 0.8989  6 In 3.50-3.88
In1 0.1400 0.6341 0.6341  1 Pt 2.68, 1 Ag 2.93
In2 0.2224 0.2224 0.6142  2 Pt 2.67
In3 0.2224 0.6142 0.2224  2 Pt 2.67
In4 0.3659 0.3659 0.8600  1 Pt 2.68, 1 Ag 2.93
In5 0.3659 0.8600 0.3659  1 Pt 2.68, 1 Ag 2.93
In6 0.3858 0.7776 0.7776  2 Pt 2.67
In7 0.6142 0.2224 0.2224  2 Pt 2.67
In8 0.6341 0.1400 0.6341  1 Pt 2.68, 1 Ag 2.93
In9 0.6341 0.6341 0.1400  1 Pt 2.68, 1 Ag 2.93
In10 0.7776 0.3858 0.7776  2 Pt 2.67
In11 0.7776 0.7776 0.3858  2 Pt 2.67
In12 0.8600 0.3659 0.3659  1 Pt 2.68, 1 Ag 2.93
Ag1 0.5000 0.5000 0.5000  6 In 2.93
Pt1 0.0000 0.5000 0.5000  6 In 2.67-2.68
Pt2 0.5000 0.0000 0.5000  6 In 2.67-2.68
Pt3 0.5000 0.5000 0.0000  6 In 2.67-2.68

Properties
**Calculated formation energy**: -161 meV/atom
**Fermi-level density of states**: 0.6094 states/eV/atom

---

2.
VASP calculation (GGA-PBE) on crystalline Tm3Zn8Rh at its relaxed geometry.

abc: 9.2539 9.2539 9.2539
angles: 32.93 32.93 32.93
Last column: nearest neighbours and their distance in Å.
Atoms (fractional coordinates):
Tm1 0.0000 0.0000 0.0000  12 Zn 2.97-3.12, 3 Rh 3.24, 1 Tm 3.29
Tm2 0.1253 0.1253 0.1253  12 Zn 3.07-3.27, 4 Tm 3.29-3.38
Tm3 0.5156 0.5156 0.5156  1 Rh 2.82, 9 Zn 2.98-3.13
Zn1 0.0605 0.5662 0.5662  6 Zn 2.59-2.73
Zn2 0.0698 0.0698 0.5685  6 Zn 2.58-2.69
Zn3 0.0698 0.5685 0.0698  6 Zn 2.58-2.69
Zn4 0.3160 0.3160 0.3160  6 Zn 2.58-2.63
Zn5 0.5662 0.0605 0.5662  6 Zn 2.59-2.73
Zn6 0.5662 0.5662 0.0605  6 Zn 2.59-2.73
Zn7 0.5685 0.0698 0.0698  6 Zn 2.58-2.69
Zn8 0.8181 0.8181 0.8181  6 Zn 2.69-2.73
Rh1 0.6230 0.6230 0.6230  1 Tm 2.82, 9 Zn 2.98-3.11

Properties
**Calculated formation energy**: -360 meV/atom
**Fermi-level density of states**: 0.4799 states/eV/atom

---

3.
VASP calculation (GGA-PBE) on crystalline Pr3Y7 at its relaxed geometry.

abc: 9.5651 9.5651 7.2343
angles: 100.90 100.90 30.97
Last column: nearest neighbours and their distance in Å.
Atoms (fractional coordinates):
Pr1 0.0000 0.0000 0.0000  12 Y 3.61-3.62
Pr2 0.1990 0.1990 0.6005  10 Y 3.60-3.64, 2 Pr 3.64
Pr3 0.8010 0.8010 0.3995  10 Y 3.60-3.64, 2 Pr 3.64
Y1 0.0000 0.0000 0.5000  4 Pr 3.60-3.62, 8 Y 3.61-3.62
Y2 0.1996 0.1996 0.1003  7 Y 3.61-3.62, 5 Pr 3.61-3.62
Y3 0.4000 0.4000 0.1987  4 Pr 3.61, 8 Y 3.61-3.63
Y4 0.4005 0.4005 0.7000  7 Y 3.61-3.63, 5 Pr 3.61-3.64
Y5 0.5995 0.5995 0.3000  7 Y 3.61-3.63, 5 Pr 3.61-3.64
Y6 0.6000 0.6000 0.8013  4 Pr 3.61, 8 Y 3.61-3.63
Y7 0.8004 0.8004 0.8997  7 Y 3.61-3.62, 5 Pr 3.61-3.62

Properties
**Calculated formation energy**: 18 meV/atom
**Fermi-level density of states**: 1.4956 states/eV/atom

---

4.
VASP calculation (GGA-PBE) on crystalline AcTlAg2O4 at its relaxed geometry.

abc: 6.2301 6.4732 6.7997
angles: 90.00 90.00 90.00
Last column: nearest neighbours and their distance in Å.
Atoms (fractional coordinates):
Ac1 0.0000 0.0000 0.0000  4 O 2.54
Ac2 0.5000 0.5000 0.5000  4 O 2.54
Tl1 0.0000 0.0000 0.5000  4 O 2.24
Tl2 0.5000 0.5000 0.0000  4 O 2.24
Ag1 0.0000 0.5000 0.2232  2 O 2.18
Ag2 0.0000 0.5000 0.7768  2 O 2.18
Ag3 0.5000 0.0000 0.2768  2 O 2.18
Ag4 0.5000 0.0000 0.7232  2 O 2.18
O1 0.1999 0.1723 0.2808  1 Ag 2.18, 1 Tl 2.24
O2 0.1999 0.8277 0.7192  1 Ag 2.18, 1 Tl 2.24
O3 0.3001 0.3277 0.7808  1 Ag 2.18, 1 Tl 2.24
O4 0.3001 0.6723 0.2192  1 Ag 2.18, 1 Tl 2.24
O5 0.6999 0.3277 0.2192  1 Ag 2.18, 1 Tl 2.24
O6 0.6999 0.6723 0.7808  1 Ag 2.18, 1 Tl 2.24
O7 0.8001 0.1723 0.7192  1 Ag 2.18, 1 Tl 2.24
O8 0.8001 0.8277 0.2808  1 Ag 2.18, 1 Tl 2.24

Properties
**Formation energy (no corrections)**: -110 kJ/mol of atoms
**Fermi-level density of states**: 0.1482 states/eV/atom

---

5.
VASP calculation (GGA-PBE) on crystalline LaSm8Mg2 at its relaxed geometry.

abc: 9.0783 9.0783 5.8563
angles: 103.22 103.22 121.39
Last column: nearest neighbours and their distance in Å.
Atoms (fractional coordinates):
La1 0.0000 0.0000 0.0000  4 Sm 3.29-3.38
Sm1 0.0966 0.3257 0.6428  2 Mg 3.29-3.48, 6 Sm 3.32-3.68
Sm2 0.2132 0.7868 0.0000  2 Mg 3.29, 1 La 3.38, 4 Sm 3.66-3.68
Sm3 0.3257 0.0966 0.6428  2 Mg 3.29-3.48, 6 Sm 3.32-3.68
Sm4 0.4138 0.4138 0.2074  1 Sm 3.03, 1 La 3.29
Sm5 0.5862 0.5862 0.7926  1 Sm 3.03, 1 La 3.29
Sm6 0.6743 0.9034 0.3572  2 Mg 3.29-3.48, 6 Sm 3.32-3.68
Sm7 0.7868 0.2132 0.0000  2 Mg 3.29, 1 La 3.38, 4 Sm 3.66-3.68
Sm8 0.9034 0.6743 0.3572  2 Mg 3.29-3.48, 6 Sm 3.32-3.68
Mg1 0.3078 0.6922 0.5000  8 Sm 3.29-3.48
Mg2 0.6922 0.3078 0.5000  8 Sm 3.29-3.48

Properties
**Calculated formation energy**: 124 meV/atom
**Fermi-level density of states**: 1.2796 states/eV/atom

---

6.
VASP calculation (GGA-PBE) on crystalline NbPO2 at its relaxed geometry.

abc: 6.1392 6.1392 8.6964
angles: 90.00 90.00 90.00
Last column: nearest neighbours and their distance in Å.
Atoms (fractional coordinates):
Nb1 0.0000 0.0000 0.0000  4 O 1.88
Nb2 0.0000 0.5000 0.2500  4 O 1.88
Nb3 0.5000 0.0000 0.7500  4 O 1.88
Nb4 0.5000 0.5000 0.5000  4 O 1.88
P1 0.0000 0.0000 0.5000  12 O 3.60, 4 Nb 3.76, 4 P 3.76
P2 0.0000 0.5000 0.7500  12 O 3.60, 4 Nb 3.76, 4 P 3.76
P3 0.5000 0.0000 0.2500  12 O 3.60, 4 Nb 3.76, 4 P 3.76
P4 0.5000 0.5000 0.0000  12 O 3.60, 4 Nb 3.76, 4 P 3.76
O1 0.0008 0.2500 0.1250  2 Nb 1.88
O2 0.2500 0.5008 0.3750  2 Nb 1.88
O3 0.2500 0.9992 0.8750  2 Nb 1.88
O4 0.4992 0.2500 0.6250  2 Nb 1.88
O5 0.5008 0.7500 0.6250  2 Nb 1.88
O6 0.7500 0.0008 0.8750  2 Nb 1.88
O7 0.7500 0.4992 0.3750  2 Nb 1.88
O8 0.9992 0.7500 0.1250  2 Nb 1.88

Properties
**Formation energy (no corrections)**: -88 kJ/mol of atoms
**Fermi-level density of states**: 0.8662 states/eV/atom